The following is a PBE-GGA calculation of a geometry-optimized RbGeN2F structure, from Alexandria.

Lattice parameters (Å, degrees): 3.7625 3.7625 5.1556 90.00 90.00 90.00
Last column: nearest neighbours and their distance in Å.
Space group P4/mmm (No. 123)
Inequivalent atoms, fractional coordinates:
Rb  0.0000  0.0000  0.0000 [1 per cell]  4 F 2.66
Ge  0.5000  0.5000  0.5000 [1 per cell]  4 N 1.88
N  0.0000  0.5000  0.5000 [2 per cell]  2 Ge 1.88
F  0.5000  0.5000  0.0000 [1 per cell]  2 Ge 2.58, 4 Rb 2.66

Computed properties:
Raw formation energy in eV per atom: -0.025
Offset from the most stable computed form in eV per atom: 0.0000

The following is a PBE-GGA calculation of a geometry-optimized CaRuW2 structure, from Alexandria.

Lattice parameters (Å, degrees): 6.4890 6.4890 6.4890 90.00 90.00 90.00
Last column: nearest neighbours and their distance in Å.
Space group F-43m (No. 216)
Inequivalent atoms, fractional coordinates:
Ca  0.0000  0.0000  0.0000 [4 per cell]  4 W 2.81, 4 Ru 2.81
Ru  0.2500  0.2500  0.2500 [4 per cell]  4 W 2.81, 4 Ca 2.81
W  0.0000  0.0000  0.5000 [4 per cell]  4 W 2.81, 4 Ru 2.81
W  0.2500  0.2500  0.7500 [4 per cell]  4 Ca 2.81, 4 W 2.81

Computed properties:
Offset from the most stable computed form in eV per atom: 0.1777
Calculated formation energy in kJ/mol of atoms: 61

The following is a PBE-GGA calculation of a geometry-optimized CePm2Au structure, from Alexandria.

Lattice parameters (Å, degrees): 7.4462 7.4462 7.4462 90.00 90.00 90.00
Last column: nearest neighbours and their distance in Å.
Space group Fm-3m (No. 225)
Inequivalent atoms, fractional coordinates:
Ce  0.0000  0.0000  0.0000 [4 per cell]  8 Pm 3.22
Pm  0.2500  0.2500  0.2500 [8 per cell]  4 Ce 3.22, 4 Au 3.22
Au  0.0000  0.0000  0.5000 [4 per cell]  8 Pm 3.22

Computed properties:
Offset from the most stable computed form in eV per atom: 0.2102
Calculated formation energy in kJ/mol of atoms: -12

The following is a PBE-GGA calculation of a geometry-optimized Li6Pm3Sn5 structure, from Alexandria.

Lattice parameters (Å, degrees): 4.5768 10.1245 13.4893 90.00 90.00 90.00
Last column: nearest neighbours and their distance in Å.
Space group Immm (No. 71)
Inequivalent atoms, fractional coordinates:
Li  0.0000  0.1823  0.0000 [4 per cell]  4 Sn 2.75-2.94, 4 Li 2.98
Li  0.0000  0.2842  0.3611 [8 per cell]  4 Sn 2.71-2.88, 2 Li 2.98
Pm  0.0000  0.0000  0.2039 [4 per cell]  8 Li 3.28-3.57, 6 Sn 3.30-3.58
Pm  0.0000  0.0000  0.5000 [2 per cell]  8 Sn 3.42, 4 Li 3.43
Sn  0.0000  0.3578  0.1553 [8 per cell]  4 Li 2.71-2.87, 1 Sn 2.88
Sn  0.0000  0.5000  0.5000 [2 per cell]  8 Li 2.88-2.94

Computed properties:
Calculated formation energy in kJ/mol of atoms: -52

The following is a PBE-GGA calculation of a geometry-optimized Er7BeBr12 structure, from Alexandria.

Lattice parameters (Å, degrees): 14.5509 14.5509 9.7965 90.00 90.00 120.00
Last column: nearest neighbours and their distance in Å.
Space group R-3 (No. 148, hexagonal axes)
Inequivalent atoms, fractional coordinates:
Er  0.0000  0.0000  0.0000 [3 per cell]  6 Br 2.83
Er  0.0450  0.8819  0.3487 [18 per cell]  1 Be 2.59, 1 Br 2.86
Be  0.0000  0.0000  0.5000 [3 per cell]  6 Er 2.59
Br  0.0222  0.4363  0.1620 [18 per cell]  3 Er 2.86-3.03
Br  0.0504  0.8691  0.8409 [18 per cell]  3 Er 2.83-2.92

Computed properties:
Raw formation energy in eV per atom: -1.479

The following is a PBE-GGA calculation of a geometry-optimized Ag2Br structure, from Alexandria.

Lattice parameters (Å, degrees): 5.6165 5.6165 8.9722 90.00 90.00 90.00
Last column: nearest neighbours and their distance in Å.
Space group I4/mcm (No. 140)
Inequivalent atoms, fractional coordinates:
Ag  0.1835  0.3165  0.0000 [8 per cell]  5 Ag 2.91-2.92, 4 Br 3.04
Br  0.0000  0.0000  0.2500 [4 per cell]  8 Ag 3.04

Computed properties:
Raw formation energy in eV per atom: 0.115
Offset from the most stable computed form in eV per atom: 0.2736

The following is a PBE-GGA calculation of a geometry-optimized SeClF3 structure, from Alexandria.

Lattice parameters (Å, degrees): 7.4948 4.8711 5.5561 90.00 90.00 90.00
Last column: nearest neighbours and their distance in Å.
Space group Pmn2_1 (No. 31)
Inequivalent atoms, fractional coordinates:
Se  0.0000  0.0086  0.0000 [2 per cell]  3 F 1.75-1.83
Cl  0.0000  0.3541  0.7208 [2 per cell]  1 Se 2.29
F  0.0000  0.7694  0.2538 [2 per cell]  1 Se 1.83
F  0.1781  0.1729  0.1448 [4 per cell]  1 Se 1.75

Computed properties:
Raw formation energy in eV per atom: -1.304
Offset from the most stable computed form in eV per atom: 0.0701

The following is a PBE-GGA calculation of a geometry-optimized TiVCN structure, from Alexandria.

Lattice parameters (Å, degrees): 2.9782 2.9782 14.6433 90.00 90.00 120.00
Last column: nearest neighbours and their distance in Å.
Space group R3m (No. 160, hexagonal axes)
Inequivalent atoms, fractional coordinates:
Ti  0.0000  0.0000  0.0000 [3 per cell]  3 C 2.12, 3 N 2.13
V  0.0000  0.0000  0.5035 [3 per cell]  3 C 2.07, 3 N 2.12
C  0.0000  0.0000  0.2488 [3 per cell]  3 V 2.07, 3 Ti 2.12
N  0.0000  0.0000  0.7525 [3 per cell]  3 V 2.12, 3 Ti 2.13

Computed properties:
Raw formation energy in eV per atom: -1.013
Offset from the most stable computed form in eV per atom: 0.0000

Q: Number 8 is which compound?
A: TiVCN